This record from Alexandria via LeMat-Bulk describes crystalline NaMgNi2F8 at its relaxed geometry. The functional is PBE+U.

Computed properties:
- E: -104.28 eV for the cell shown

abc: 6.6257 6.8717 6.2677
angles: 90.00 90.00 90.00
Closest atoms and distances in Å follow each position.
Space group Cmmm (No. 65)
Asymmetric unit:
Na: 0.0000 0.0000 0.0000 [2 per cell]  6 F 2.21
Mg: 0.0000 0.0000 0.5000 [2 per cell]  6 F 1.99-2.10
Ni: 0.0000 0.5000 0.2519 [4 per cell]  6 F 1.92-2.05
F: 0.0000 0.3053 0.5000 [4 per cell]  2 Ni 2.05, 1 Mg 2.10
F: 0.0000 0.3223 0.0000 [4 per cell]  2 Ni 2.00, 1 Na 2.21
F: 0.2104 0.0000 0.2730 [8 per cell]  1 Ni 1.92, 1 Mg 1.99